1.
PrNdAu PBE relaxed; uncorrected energy = -13.93 eV per formula unit; space group = P3m1, No. 156; total moment = 0.000 μB/f.u.; energy relative to the lowest polymorph listed for this composition = 133 meV/atom; energy of formation from the pure elements = -0.3683 eV/atom
1.0
3.9768 0.0000 0.0000
0.0000 5.0230 0.0000
0.0000 -2.5115 4.3501
Pr Nd Au
1 1 1
Cartesian
1.1334 0.0000 2.9001
2.8760 2.5115 1.4500
3.9442 0.0000 0.0000

=====

2.
PrNd2Au2 PBE relaxed; uncorrected energy = -23.10 eV per formula unit; space group = C2/m, No. 12; total moment = 0.000 μB/f.u.; energy relative to the lowest polymorph listed for this composition = 186 meV/atom; energy of formation from the pure elements = -0.4453 eV/atom
1.0
-0.4929 4.0610 -3.0068
-4.7235 -1.4420 -1.1764
0.5542 1.7855 6.6492
Pr Nd Au
1 2 2
Cartesian
0.0000 0.0000 0.0000
-3.3898 0.8251 1.6911
-1.2723 3.5794 0.7749
-3.0683 2.0125 -1.0413
-1.5938 2.3919 3.5073

=====

3.
PrNdAu PBE relaxed; uncorrected energy = -13.87 eV per formula unit; space group = F-43m, No. 216; total moment = 0.393 μB/f.u.; energy relative to the lowest polymorph listed for this composition = 153 meV/atom; energy of formation from the pure elements = -0.3485 eV/atom
1.0
5.1598 0.0000 0.0000
2.5799 4.4685 0.0000
2.5799 1.4895 4.2129
Pr Nd Au
1 1 1
Cartesian
5.1598 2.9790 2.1065
0.0000 0.0000 0.0000
2.5799 1.4895 1.0532

=====

Question: Look up the total moment of the first one.
Answer: 0.000 μB/f.u.

=====

Question: Which value of energy of formation from the pure elements does entry 1 give?
Answer: -0.3683 eV/atom

=====

Question: Which formula does entry 3 have?
Answer: PrNdAu

=====

Question: uncorrected energy of number 1 (PrNdAu)?
Answer: -13.93 eV per formula unit